1.
# PBE-GGA HfMgN2F, optimized geometry
data_HfMgN2F
_space_group_name_H-M_alt 'P 4/m m m'
_space_group_IT_number 123
_space_group_name_Hall '-P 4 2'
_cell_length_a 4.190
_cell_length_b 4.190
_cell_length_c 4.043
_cell_angle_alpha 90.00
_cell_angle_beta 90.00
_cell_angle_gamma 90.00
loop_
_atom_site_label
_atom_site_type_symbol
_atom_site_fract_x
_atom_site_fract_y
_atom_site_fract_z
_atom_site_occupancy
Hf1 Hf 0.000 0.000 0.000 1
Mg1 Mg 0.500 0.500 0.500 1
N1 N 0.000 0.500 0.000 1
F1 F 0.000 0.000 0.500 1
# Energy relative to the elements, uncorrected (kJ/mol of atoms): -102.6
# Size of the total moment (Bohr magnetons per cell): 0.0

=====

2.
# PBE-GGA HfMgN2F, optimized geometry
data_HfMgN2F
_space_group_name_H-M_alt 'P 4/m m m'
_space_group_IT_number 123
_space_group_name_Hall '-P 4 2'
_cell_length_a 3.951
_cell_length_b 3.951
_cell_length_c 3.534
_cell_angle_alpha 90.00
_cell_angle_beta 90.00
_cell_angle_gamma 90.00
loop_
_atom_site_label
_atom_site_type_symbol
_atom_site_fract_x
_atom_site_fract_y
_atom_site_fract_z
_atom_site_occupancy
Hf1 Hf 0.000 0.000 0.000 1
Mg1 Mg 0.500 0.500 0.500 1
N1 N 0.000 0.500 0.500 1
F1 F 0.500 0.500 0.000 1
# Energy relative to the elements, uncorrected (kJ/mol of atoms): -61.9
# Size of the total moment (Bohr magnetons per cell): 0.9

=====

3.
# PBE-GGA NaHf2MgF, optimized geometry
data_NaHf2MgF
_space_group_name_H-M_alt 'P 4/m m m'
_space_group_IT_number 123
_space_group_name_Hall '-P 4 2'
_cell_length_a 5.142
_cell_length_b 5.142
_cell_length_c 5.013
_cell_angle_alpha 90.00
_cell_angle_beta 90.00
_cell_angle_gamma 90.00
loop_
_atom_site_label
_atom_site_type_symbol
_atom_site_fract_x
_atom_site_fract_y
_atom_site_fract_z
_atom_site_occupancy
Na1 Na 0.000 0.000 0.000 1
Hf1 Hf 0.000 0.500 0.000 1
Mg1 Mg 0.000 0.000 0.500 1
F1 F 0.500 0.500 0.500 1
# Energy relative to the elements, uncorrected (kJ/mol of atoms): 130.9
# Size of the total moment (Bohr magnetons per cell): 0.0

=====

4.
# PBE-GGA HfMgO2F, optimized geometry
data_HfMgO2F
_space_group_name_H-M_alt 'P 4/m m m'
_space_group_IT_number 123
_space_group_name_Hall '-P 4 2'
_cell_length_a 3.921
_cell_length_b 3.921
_cell_length_c 3.539
_cell_angle_alpha 90.00
_cell_angle_beta 90.00
_cell_angle_gamma 90.00
loop_
_atom_site_label
_atom_site_type_symbol
_atom_site_fract_x
_atom_site_fract_y
_atom_site_fract_z
_atom_site_occupancy
Hf1 Hf 0.000 0.000 0.000 1
Mg1 Mg 0.500 0.500 0.500 1
O1 O 0.000 0.500 0.500 1
F1 F 0.500 0.500 0.000 1
# Energy relative to the elements, uncorrected (kJ/mol of atoms): -204.3
# Size of the total moment (Bohr magnetons per cell): 0.5

=====

5.
# PBE-GGA HfMgO2F, optimized geometry
data_HfMgO2F
_space_group_name_H-M_alt 'P 4/m m m'
_space_group_IT_number 123
_space_group_name_Hall '-P 4 2'
_cell_length_a 4.104
_cell_length_b 4.104
_cell_length_c 4.244
_cell_angle_alpha 90.00
_cell_angle_beta 90.00
_cell_angle_gamma 90.00
loop_
_atom_site_label
_atom_site_type_symbol
_atom_site_fract_x
_atom_site_fract_y
_atom_site_fract_z
_atom_site_occupancy
Hf1 Hf 0.000 0.000 0.000 1
Mg1 Mg 0.500 0.500 0.500 1
O1 O 0.000 0.500 0.000 1
F1 F 0.000 0.000 0.500 1
# Energy relative to the elements, uncorrected (kJ/mol of atoms): -245.9
# Size of the total moment (Bohr magnetons per cell): 0.1

=====

6.
# PBE-GGA HfMgOF2, optimized geometry
data_HfMgOF2
_space_group_name_H-M_alt 'P 4/m m m'
_space_group_IT_number 123
_space_group_name_Hall '-P 4 2'
_cell_length_a 3.578
_cell_length_b 3.578
_cell_length_c 5.317
_cell_angle_alpha 90.00
_cell_angle_beta 90.00
_cell_angle_gamma 90.00
loop_
_atom_site_label
_atom_site_type_symbol
_atom_site_fract_x
_atom_site_fract_y
_atom_site_fract_z
_atom_site_occupancy
Hf1 Hf 0.000 0.000 0.000 1
Mg1 Mg 0.500 0.500 0.500 1
O1 O 0.500 0.500 0.000 1
F1 F 0.000 0.500 0.500 1
# Energy relative to the elements, uncorrected (kJ/mol of atoms): -198.4
# Size of the total moment (Bohr magnetons per cell): 1.3

=====

7.
# PBE-GGA HfMgOF2, optimized geometry
data_HfMgOF2
_space_group_name_H-M_alt 'P 4/m m m'
_space_group_IT_number 123
_space_group_name_Hall '-P 4 2'
_cell_length_a 4.369
_cell_length_b 4.369
_cell_length_c 4.032
_cell_angle_alpha 90.00
_cell_angle_beta 90.00
_cell_angle_gamma 90.00
loop_
_atom_site_label
_atom_site_type_symbol
_atom_site_fract_x
_atom_site_fract_y
_atom_site_fract_z
_atom_site_occupancy
Hf1 Hf 0.000 0.000 0.000 1
Mg1 Mg 0.500 0.500 0.500 1
O1 O 0.000 0.000 0.500 1
F1 F 0.000 0.500 0.000 1
# Energy relative to the elements, uncorrected (kJ/mol of atoms): -230.4
# Size of the total moment (Bohr magnetons per cell): 0.2

=====

8.
# PBE-GGA Rb2HfMgF6, optimized geometry
data_Rb2HfMgF6
_space_group_name_H-M_alt 'I 4/m m m'
_space_group_IT_number 139
_space_group_name_Hall '-I 4 2'
_cell_length_a 6.884
_cell_length_b 6.884
_cell_length_c 9.756
_cell_angle_alpha 90.00
_cell_angle_beta 90.00
_cell_angle_gamma 90.00
loop_
_atom_site_label
_atom_site_type_symbol
_atom_site_fract_x
_atom_site_fract_y
_atom_site_fract_z
_atom_site_occupancy
Rb1 Rb 0.000 0.500 0.250 1
Hf1 Hf 0.000 0.000 0.000 1
Mg1 Mg 0.000 0.000 0.500 1
F1 F 0.000 0.000 0.206 1
F2 F 0.207 0.207 0.000 1
# Energy relative to the elements, uncorrected (kJ/mol of atoms): -280.5
# Size of the total moment (Bohr magnetons per cell): 0.0

=====

9.
# PBE-GGA Hf2MgScF, optimized geometry
data_Hf2MgScF
_space_group_name_H-M_alt 'P 4/m m m'
_space_group_IT_number 123
_space_group_name_Hall '-P 4 2'
_cell_length_a 5.041
_cell_length_b 5.041
_cell_length_c 5.465
_cell_angle_alpha 90.00
_cell_angle_beta 90.00
_cell_angle_gamma 90.00
loop_
_atom_site_label
_atom_site_type_symbol
_atom_site_fract_x
_atom_site_fract_y
_atom_site_fract_z
_atom_site_occupancy
Hf1 Hf 0.000 0.500 0.000 1
Mg1 Mg 0.000 0.000 0.500 1
Sc1 Sc 0.000 0.000 0.000 1
F1 F 0.500 0.500 0.500 1
# Energy relative to the elements, uncorrected (kJ/mol of atoms): 97.0
# Size of the total moment (Bohr magnetons per cell): 0.0

=====

10.
# PBE-GGA SrHfMg2F, optimized geometry
data_SrHfMg2F
_space_group_name_H-M_alt 'P 4/m m m'
_space_group_IT_number 123
_space_group_name_Hall '-P 4 2'
_cell_length_a 5.646
_cell_length_b 5.646
_cell_length_c 6.549
_cell_angle_alpha 90.00
_cell_angle_beta 90.00
_cell_angle_gamma 90.00
loop_
_atom_site_label
_atom_site_type_symbol
_atom_site_fract_x
_atom_site_fract_y
_atom_site_fract_z
_atom_site_occupancy
Sr1 Sr 0.000 0.000 0.000 1
Hf1 Hf 0.000 0.000 0.500 1
Mg1 Mg 0.000 0.500 0.500 1
F1 F 0.500 0.500 0.000 1
# Energy relative to the elements, uncorrected (kJ/mol of atoms): 58.5
# Size of the total moment (Bohr magnetons per cell): 3.6

=====

11.
# PBE-GGA Hf2MgTiF, optimized geometry
data_Hf2MgTiF
_space_group_name_H-M_alt 'P 4/m m m'
_space_group_IT_number 123
_space_group_name_Hall '-P 4 2'
_cell_length_a 4.572
_cell_length_b 4.572
_cell_length_c 4.275
_cell_angle_alpha 90.00
_cell_angle_beta 90.00
_cell_angle_gamma 90.00
loop_
_atom_site_label
_atom_site_type_symbol
_atom_site_fract_x
_atom_site_fract_y
_atom_site_fract_z
_atom_site_occupancy
Hf1 Hf 0.000 0.500 0.000 1
Mg1 Mg 0.000 0.000 0.500 1
Ti1 Ti 0.500 0.500 0.500 1
F1 F 0.500 0.500 0.000 1
# Energy relative to the elements, uncorrected (kJ/mol of atoms): -38.1
# Size of the total moment (Bohr magnetons per cell): 0.4